Run one
Ca2CoW | PBE-GGA | relaxed

```
Ca2CoW
1.0
10.4284 0.0000 0.0000
0.0000 10.4284 0.0000
0.0000 0.0000 4.4764
Ca Co W
8 4 4
Direct
0.0836 0.2500 0.1250 Ca
0.2500 0.5836 0.3750 Ca
0.2500 0.9164 0.8750 Ca
0.4164 0.2500 0.6250 Ca
0.5836 0.7500 0.6250 Ca
0.7500 0.0836 0.8750 Ca
0.7500 0.4164 0.3750 Ca
0.9164 0.7500 0.1250 Ca
0.0000 0.0000 0.0000 Co
0.0000 0.5000 0.2500 Co
0.5000 0.0000 0.7500 Co
0.5000 0.5000 0.5000 Co
0.0000 0.0000 0.5000 W
0.0000 0.5000 0.7500 W
0.5000 0.0000 0.2500 W
0.5000 0.5000 0.0000 W
```

space-group type	I-42d, No. 122
V	30.43	A^3/atom


Run two
Ca2CoW | PBE-GGA | relaxed

```
Ca2CoW
1.0
5.5407 0.0000 0.0000
0.0000 2.8255 0.0000
-2.5639 0.0000 5.1866
Ca Co W
2 1 1
Direct
0.0000 0.0000 0.0000 Ca
0.0000 0.5000 0.5000 Ca
0.5000 0.0000 0.5000 Co
0.5000 0.5000 0.0000 W
```

space-group type	P2/m, No. 10
V	20.30	A^3/atom


Run three
Ca2CoW | PBE-GGA | relaxed

```
Ca2CoW
1.0
3.4703 0.0000 0.0000
0.0000 5.1487 0.0000
0.0000 0.0000 10.2648
Ca Co W
4 2 2
Direct
0.0000 0.0000 0.0000 Ca
0.0000 0.5000 0.2110 Ca
0.5000 0.0000 0.7110 Ca
0.5000 0.5000 0.5000 Ca
0.0000 0.5000 0.7617 Co
0.5000 0.0000 0.2617 Co
0.0000 0.0000 0.4038 W
0.5000 0.5000 0.9038 W
```

space-group type	Imm2, No. 44
V	22.93	A^3/atom


We find run three to be the most stable, with the next structure 394 meV/atom higher.


Run one
Ca2CoW | PBE-GGA | relaxed

```
Ca2CoW
1.0
6.7905 0.0000 0.0000
0.0000 6.7905 0.0000
0.0000 0.0000 6.7905
Ca Co W
8 4 4
Direct
0.0000 0.0000 0.0000 Ca
0.0000 0.5000 0.5000 Ca
0.2500 0.2500 0.2500 Ca
0.2500 0.7500 0.7500 Ca
0.5000 0.0000 0.5000 Ca
0.5000 0.5000 0.0000 Ca
0.7500 0.2500 0.7500 Ca
0.7500 0.7500 0.2500 Ca
0.2500 0.2500 0.7500 Co
0.2500 0.7500 0.2500 Co
0.7500 0.2500 0.2500 Co
0.7500 0.7500 0.7500 Co
0.0000 0.0000 0.5000 W
0.0000 0.5000 0.0000 W
0.5000 0.0000 0.0000 W
0.5000 0.5000 0.5000 W
```

space-group type	F-43m, No. 216
V	19.57	A^3/atom


Run two
Ca2CoW | PBE-GGA | relaxed

```
Ca2CoW
1.0
3.5711 0.0000 0.0000
0.0000 4.5330 0.0000
0.0000 0.0000 4.8572
Ca Co W
2 1 1
Direct
0.0000 0.0000 0.0000 Ca
0.5000 0.5000 0.0000 Ca
0.0000 0.5000 0.5000 Co
0.5000 0.0000 0.5000 W
```

space-group type	Pmmm, No. 47
V	19.66	A^3/atom


Run three
Ca2CoW | PBE-GGA | relaxed

```
Ca2CoW
1.0
3.2612 0.0000 0.0000
0.0000 3.6137 0.0000
0.0000 0.0000 16.9028
Ca Co W
4 2 2
Direct
0.0000 0.0000 0.1511 Ca
0.0000 0.0000 0.8489 Ca
0.5000 0.5000 0.3489 Ca
0.5000 0.5000 0.6511 Ca
0.0000 0.5000 0.5000 Co
0.5000 0.0000 0.0000 Co
0.0000 0.5000 0.0000 W
0.5000 0.0000 0.5000 W
```

space-group type	Immm, No. 71
V	24.90	A^3/atom


We find run three to be the most stable, with the next structure 501 meV/atom higher.


Run one
Ca3CoW | PBE-GGA | relaxed

```
Ca3CoW
1.0
5.2307 0.0000 0.0000
0.0000 5.2307 0.0000
0.0000 0.0000 5.2307
Ca Co W
3 1 1
Direct
0.0000 0.0000 0.5000 Ca
0.0000 0.5000 0.0000 Ca
0.5000 0.0000 0.0000 Ca
0.0000 0.0000 0.0000 Co
0.5000 0.5000 0.5000 W
```

space-group type	Pm-3m, No. 221
V	28.62	A^3/atom


Run two
Ca3CoW | PBE-GGA | relaxed

```
Ca3CoW
1.0
5.4320 0.0000 0.0000
0.0000 5.4320 0.0000
0.0000 0.0000 5.4320
Ca Co W
3 1 1
Direct
0.0000 0.0000 0.5000 Ca
0.0000 0.5000 0.0000 Ca
0.5000 0.0000 0.0000 Ca
0.5000 0.5000 0.5000 Co
0.0000 0.0000 0.0000 W
```

space-group type	Pm-3m, No. 221
V	32.06	A^3/atom


We find run one to be the most stable, with the next structure 515 meV/atom higher.


Run one
CaCoW3 | PBE-GGA | relaxed

```
CaCoW3
1.0
4.5968 0.0000 0.0000
0.0000 4.5968 0.0000
0.0000 0.0000 4.5968
Ca Co W
1 1 3
Direct
0.0000 0.0000 0.0000 Ca
0.5000 0.5000 0.5000 Co
0.0000 0.5000 0.5000 W
0.5000 0.0000 0.5000 W
0.5000 0.5000 0.0000 W
```

space-group type	Pm-3m, No. 221
V	19.43	A^3/atom


Run two
CaCoW3 | PBE-GGA | relaxed

```
CaCoW3
1.0
4.5314 0.0000 0.0000
0.0000 4.5314 0.0000
0.0000 0.0000 4.5314
Ca Co W
1 1 3
Direct
0.0000 0.0000 0.0000 Ca
0.5000 0.5000 0.5000 Co
0.0000 0.0000 0.5000 W
0.0000 0.5000 0.0000 W
0.5000 0.0000 0.0000 W
```

space-group type	Pm-3m, No. 221
V	18.61	A^3/atom


We find run one to be the most stable, with the next structure 2137 meV/atom higher.


Run one
Ca2YCo2 | PBE-GGA | relaxed

```
Ca2YCo2
1.0
4.8712 0.0000 0.0000
0.0000 4.8712 0.0000
0.0000 0.0000 9.7508
Ca Y Co
4 2 4
Direct
0.0000 0.0000 0.1509 Ca
0.0000 0.0000 0.8491 Ca
0.5000 0.5000 0.3491 Ca
0.5000 0.5000 0.6509 Ca
0.0000 0.0000 0.5000 Y
0.5000 0.5000 0.0000 Y
0.0000 0.5000 0.2500 Co
0.0000 0.5000 0.7500 Co
0.5000 0.0000 0.2500 Co
0.5000 0.0000 0.7500 Co
```

space-group type	I4/mmm, No. 139
V	23.14	A^3/atom


Run two
Ca2YCo2 | PBE-GGA | relaxed

```
Ca2YCo2
1.0
7.0806 0.0000 0.0000
0.0000 7.0806 0.0000
0.0000 0.0000 4.6259
Ca Y Co
4 2 4
Direct
0.1687 0.3313 0.0000 Ca
0.3313 0.8313 0.0000 Ca
0.6687 0.1687 0.0000 Ca
0.8313 0.6687 0.0000 Ca
0.0000 0.0000 0.5000 Y
0.5000 0.5000 0.5000 Y
0.1116 0.6116 0.5000 Co
0.3884 0.1116 0.5000 Co
0.6116 0.8884 0.5000 Co
0.8884 0.3884 0.5000 Co
```

space-group type	P4/mbm, No. 127
V	23.19	A^3/atom


We find run two to be the most stable, with the next structure 411 meV/atom higher.


Run one
CaYCo | PBE-GGA | relaxed

```
CaYCo
1.0
14.7828 0.0000 0.0000
0.0000 3.8440 0.0000
-1.0007 0.0000 5.6274
Ca Y Co
4 4 4
Direct
0.0854 0.0000 0.2924 Ca
0.4146 0.5000 0.7076 Ca
0.5854 0.5000 0.2924 Ca
0.9146 0.0000 0.7076 Ca
0.1674 0.5000 0.8311 Y
0.3326 0.0000 0.1689 Y
0.6674 0.0000 0.8311 Y
0.8326 0.5000 0.1689 Y
0.2407 0.5000 0.3756 Co
0.2593 0.0000 0.6244 Co
0.7407 0.0000 0.3756 Co
0.7593 0.5000 0.6244 Co
```

space-group type	C2/m, No. 12
V	26.65	A^3/atom


Run two
CaYCo | PBE-GGA | relaxed

```
CaYCo
1.0
3.8230 0.0000 0.0000
-1.9115 3.3108 0.0000
0.0000 0.0000 6.5441
Ca Y Co
1 1 1
Direct
0.0000 0.0000 0.0000 Ca
0.3333 0.6667 0.4820 Y
0.6667 0.3333 0.2634 Co
```

space-group type	P3m1, No. 156
V	27.61	A^3/atom


Run three
CaYCo | PBE-GGA | relaxed

```
CaYCo
1.0
3.9384 0.0000 0.0000
0.0000 21.4029 0.0000
0.0000 0.0000 3.8834
Ca Y Co
4 4 4
Direct
0.0000 0.1860 0.2500 Ca
0.0000 0.8140 0.7500 Ca
0.5000 0.3140 0.7500 Ca
0.5000 0.6860 0.2500 Ca
0.0000 0.4303 0.2500 Y
0.0000 0.5697 0.7500 Y
0.5000 0.0697 0.7500 Y
0.5000 0.9303 0.2500 Y
0.0000 0.0284 0.2500 Co
0.0000 0.9716 0.7500 Co
0.5000 0.4716 0.7500 Co
0.5000 0.5284 0.2500 Co
```

space-group type	Cmcm, No. 63
V	27.28	A^3/atom


Run four
CaYCo | PBE-GGA | relaxed

```
CaYCo
1.0
6.7200 0.0000 0.0000
0.0000 6.7200 0.0000
0.0000 0.0000 6.7200
Ca Y Co
4 4 4
Direct
0.0000 0.0000 0.0000 Ca
0.0000 0.5000 0.5000 Ca
0.5000 0.0000 0.5000 Ca
0.5000 0.5000 0.0000 Ca
0.0000 0.0000 0.5000 Y
0.0000 0.5000 0.0000 Y
0.5000 0.0000 0.0000 Y
0.5000 0.5000 0.5000 Y
0.2500 0.2500 0.2500 Co
0.2500 0.7500 0.7500 Co
0.7500 0.2500 0.7500 Co
0.7500 0.7500 0.2500 Co
```

space-group type	F-43m, No. 216
V	25.29	A^3/atom


We find run three to be the most stable, with the next structure 58 meV/atom higher.


Run one
CaZn3Co | PBE-GGA | relaxed

```
CaZn3Co
1.0
2.9389 -5.9001 0.0000
2.9389 5.9001 0.0000
0.0000 0.0000 5.0161
Ca Zn Co
2 6 2
Direct
0.1056 0.8944 0.7500 Ca
0.8944 0.1056 0.2500 Ca
0.1320 0.4176 0.7500 Zn
0.3126 0.6874 0.2500 Zn
0.4176 0.1320 0.2500 Zn
0.5824 0.8680 0.7500 Zn
0.6874 0.3126 0.7500 Zn
0.8680 0.5824 0.2500 Zn
0.5000 0.5000 0.0000 Co
0.5000 0.5000 0.5000 Co
```

space-group type	Cmcm, No. 63
V	17.40	A^3/atom


Run two
CaZn3Co | PBE-GGA | relaxed

```
CaZn3Co
1.0
4.6041 0.0000 0.0000
0.0000 4.6041 0.0000
0.0000 0.0000 4.6041
Ca Zn Co
1 3 1
Direct
0.0000 0.0000 0.0000 Ca
0.0000 0.5000 0.5000 Zn
0.5000 0.0000 0.5000 Zn
0.5000 0.5000 0.0000 Zn
0.5000 0.5000 0.5000 Co
```

space-group type	Pm-3m, No. 221
V	19.52	A^3/atom


We find run one to be the most stable, with the next structure 65 meV/atom higher.


Run one
CaZrCo | PBE-GGA | relaxed

```
CaZrCo
1.0
6.4348 0.0000 0.0000
0.0000 6.4348 0.0000
0.0000 0.0000 6.4348
Ca Zr Co
4 4 4
Direct
0.0000 0.0000 0.0000 Ca
0.0000 0.5000 0.5000 Ca
0.5000 0.0000 0.5000 Ca
0.5000 0.5000 0.0000 Ca
0.0000 0.0000 0.5000 Zr
0.0000 0.5000 0.0000 Zr
0.5000 0.0000 0.0000 Zr
0.5000 0.5000 0.5000 Zr
0.2500 0.2500 0.7500 Co
0.2500 0.7500 0.2500 Co
0.7500 0.2500 0.2500 Co
0.7500 0.7500 0.7500 Co
```

space-group type	F-43m, No. 216
V	22.20	A^3/atom


Run two
CaZrCo | PBE-GGA | relaxed

```
CaZrCo
1.0
3.2989 0.0000 0.0000
0.0000 3.2989 0.0000
0.0000 0.0000 12.3182
Ca Zr Co
2 2 2
Direct
0.0000 0.0000 0.0000 Ca
0.5000 0.5000 0.5000 Ca
0.0000 0.0000 0.2641 Zr
0.5000 0.5000 0.7641 Zr
0.0000 0.0000 0.6683 Co
0.5000 0.5000 0.1683 Co
```

space-group type	I4mm, No. 107
V	22.34	A^3/atom


Run three
CaZrCo | PBE-GGA | relaxed

```
CaZrCo
1.0
3.6229 0.0000 0.0000
-1.8114 3.1375 0.0000
0.0000 0.0000 6.4762
Ca Zr Co
1 1 1
Direct
0.0000 0.0000 0.0000 Ca
0.3333 0.6667 0.4980 Zr
0.6667 0.3333 0.2980 Co
```

space-group type	P3m1, No. 156
V	24.54	A^3/atom


We find run two to be the most stable, with the next structure 136 meV/atom higher.